First-principles (PBE) data for a relaxed ZrSnOs crystal, as listed in OQMD. Values from VASP.

The structure in Quantum ESPRESSO input format:
```
&SYSTEM
  ibrav = 0, nat = 3, ntyp = 3
/
ATOMIC_SPECIES
Os 190.23 Os.upf
Sn 118.71 Sn.upf
Zr 91.22 Zr.upf
CELL_PARAMETERS angstrom
-1.477 -4.321 -0.416
-3.938 -0.877 -2.180
0.057 -2.058 -4.098
ATOMIC_POSITIONS angstrom
Os -1.339 -1.814 -1.674
Sn -4.018 -5.442 -5.021
Zr 0.000 0.000 0.000
```

Output
As for the space group: F-43m (216).

---

First-principles (PBE) data for a relaxed Zr2SnOs crystal, as listed in OQMD. Values from VASP.

The structure in Quantum ESPRESSO input format:
```
&SYSTEM
  ibrav = 0, nat = 4, ntyp = 3
/
ATOMIC_SPECIES
Os 190.23 Os.upf
Sn 118.71 Sn.upf
Zr 91.22 Zr.upf
CELL_PARAMETERS angstrom
1.365 1.410 4.371
-3.109 2.244 2.873
-1.714 -2.227 3.880
ATOMIC_POSITIONS angstrom
Os -0.865 0.357 2.781
Sn -1.729 0.713 5.562
Zr 0.000 0.000 0.000
Zr -2.594 1.070 8.343
```

Output
As for the space group: F-43m (216).

---

First-principles (PBE) data for a relaxed SrTa2Os2 crystal, as listed in OQMD. Values from VASP.

The structure in Quantum ESPRESSO input format:
```
&SYSTEM
  ibrav = 0, nat = 5, ntyp = 3
/
ATOMIC_SPECIES
Os 190.23 Os.upf
Sr 87.62 Sr.upf
Ta 180.95 Ta.upf
CELL_PARAMETERS angstrom
-0.641 6.077 1.762
-5.658 2.425 1.594
3.637 -5.057 1.280
ATOMIC_POSITIONS angstrom
Os -2.388 3.224 1.272
Os -3.911 5.278 2.083
Sr 0.000 0.000 0.000
Ta -0.077 2.635 2.360
Ta -2.585 0.810 2.276
```

Output
As for the space group: I4/mmm (139).

---

| no. | size of the total moment (μB per cell) | energy (Ry per atom) |
| --- | --- | --- |
| 1 | 0.0 | -0.5507 |
| 2 | 1.8 | -0.6016 |
| 3 | 0.0 | -0.7114 |